BaMnO3 | GGA-PBEsol | relaxed

Values from the calculation:
Calculated total energy, eV per atom: -7.80
D(E_F), states/eV/cell: 0.758
Energy relative to the elements, uncorrected, eV/f.u.: -11.345

a b c (Å): 5.6463 5.6463 7.6857
angles (deg): 68.45 68.45 60.00
Positions (direct):
Ba 0.2185 0.2185 0.3445
Ba 0.7815 0.7815 0.6555
Ba 0.0000 0.0000 0.0000
Mn 0.3810 0.3810 0.8569
Mn 0.6190 0.6190 0.1431
Mn 0.5000 0.5000 0.5000
O 0.5000 0.0000 0.0000
O 0.5000 0.5000 0.0000
O 0.0000 0.5000 0.0000
O 0.2633 0.7062 0.3244
O 0.7062 0.2633 0.3244
O 0.7062 0.7062 0.3244
O 0.2938 0.7367 0.6756
O 0.7367 0.2938 0.6756
O 0.2938 0.2938 0.6756